No. 1
# LaHgTeI2 (PBE, optimized geometry)
# Formation energy from raw total energies ... -269 meV per atom
# ρ ... 6.1 g/cm³
# Size of the total moment ... 0.086 μB per atom
# Energy relative to the lowest polymorph listed for this composition ... 242.6 kJ/mol of formula units
data_LaHgTeI2
_chemical_formula_sum 'La1 Hg1 Te1 I2'
_cell_length_a 5.837
_cell_length_b 5.837
_cell_length_c 5.723
_cell_angle_alpha 90.00
_cell_angle_beta 90.00
_cell_angle_gamma 90.00
_symmetry_space_group_name_H-M 'P 4/m m m'
_symmetry_Int_Tables_number 123
_symmetry_space_group_name_Hall '-P 4 2'
loop_
_atom_site_label
_atom_site_type_symbol
_atom_site_fract_x
_atom_site_fract_y
_atom_site_fract_z
La1 La 0.000 0.000 0.000
Hg1 Hg 0.500 0.500 0.500
Te1 Te 0.500 0.500 0.000
I1 I 0.000 0.500 0.500



No. 2
# KLiSnSb2 (PBE, optimized geometry)
# Formation energy from raw total energies ... -361 meV per atom
# ρ ... 4.3 g/cm³
# Size of the total moment ... 0.000 μB per atom
data_KLiSnSb2
_chemical_formula_sum 'K2 Li2 Sn2 Sb4'
_cell_length_a 4.806
_cell_length_b 4.806
_cell_length_c 13.549
_cell_angle_alpha 90.00
_cell_angle_beta 90.00
_cell_angle_gamma 90.00
_symmetry_space_group_name_H-M 'I -4 m 2'
_symmetry_Int_Tables_number 119
_symmetry_space_group_name_Hall 'I -4 -2'
loop_
_atom_site_label
_atom_site_type_symbol
_atom_site_fract_x
_atom_site_fract_y
_atom_site_fract_z
K1 K 0.000 0.000 0.000
Li1 Li 0.000 0.500 0.250
Sn1 Sn 0.000 0.500 0.750
Sb1 Sb 0.000 0.000 0.381



No. 3
# AcEu2Au (PBE, optimized geometry)
# ρ ... 8.7 g/cm³
# Size of the total moment ... 3.610 μB per atom
# Energy relative to the lowest polymorph listed for this composition ... 0.0 kJ/mol of formula units
# Energy of formation from the pure elements ... -0.3753 eV/atom
data_AcEu2Au
_chemical_formula_sum 'Ac1 Eu2 Au1'
_cell_length_a 3.836
_cell_length_b 3.836
_cell_length_c 9.423
_cell_angle_alpha 90.00
_cell_angle_beta 90.00
_cell_angle_gamma 90.00
_symmetry_space_group_name_H-M 'P 4/m m m'
_symmetry_Int_Tables_number 123
_symmetry_space_group_name_Hall '-P 4 2'
loop_
_atom_site_label
_atom_site_type_symbol
_atom_site_fract_x
_atom_site_fract_y
_atom_site_fract_z
Ac1 Ac 0.000 0.000 0.000
Eu1 Eu 0.500 0.500 0.313
Au1 Au 0.000 0.000 0.500



No. 4
# Sc2NiIr (PBE, optimized geometry)
# ρ ... 8.1 g/cm³
# Size of the total moment ... 0.000 μB per atom
# Energy relative to the lowest polymorph listed for this composition ... 186.7 kJ/mol of formula units
# Energy of formation from the pure elements ... -0.3175 eV/atom
data_Sc2NiIr
_chemical_formula_sum 'Sc8 Ni4 Ir4'
_cell_length_a 6.979
_cell_length_b 6.979
_cell_length_c 5.723
_cell_angle_alpha 90.00
_cell_angle_beta 90.00
_cell_angle_gamma 90.00
_symmetry_space_group_name_H-M 'I -4 2 d'
_symmetry_Int_Tables_number 122
_symmetry_space_group_name_Hall 'I -4 2bw'
loop_
_atom_site_label
_atom_site_type_symbol
_atom_site_fract_x
_atom_site_fract_y
_atom_site_fract_z
Sc1 Sc 0.240 0.250 0.125
Ni1 Ni 0.000 0.000 0.000
Ir1 Ir 0.000 0.000 0.500



No. 5
# NdLu2Sb (PBE, optimized geometry)
# Formation energy from raw total energies ... -265 meV per atom
# ρ ... 8.0 g/cm³
# Size of the total moment ... 0.000 μB per atom
# Energy relative to the lowest polymorph listed for this composition ... 64.1 kJ/mol of formula units
data_NdLu2Sb
_chemical_formula_sum 'Nd3 Lu6 Sb3'
_cell_length_a 3.9192
_cell_length_b 3.9192
_cell_length_c 28.9563
_cell_angle_alpha 90.00
_cell_angle_beta 90.00
_cell_angle_gamma 120.00
_symmetry_space_group_name_H-M 'R -3 m'
_symmetry_Int_Tables_number 166
_symmetry_space_group_name_Hall '-R 3 2"'
loop_
_atom_site_label
_atom_site_type_symbol
_atom_site_fract_x
_atom_site_fract_y
_atom_site_fract_z
Nd1 Nd 0.0000 0.0000 0.0000
Lu1 Lu 0.0000 0.0000 0.2331
Sb1 Sb 0.0000 0.0000 0.5000



No. 6
# Sc2AlSb2 (PBE, optimized geometry)
# Formation energy from raw total energies ... -488 meV per atom
# ρ ... 5.1 g/cm³
# Size of the total moment ... 0.081 μB per atom
# Energy relative to the lowest polymorph listed for this composition ... 0.0 kJ/mol of formula units
data_Sc2AlSb2
_chemical_formula_sum 'Sc4 Al2 Sb4'
_cell_length_a 7.786
_cell_length_b 7.786
_cell_length_c 3.879
_cell_angle_alpha 90.00
_cell_angle_beta 90.00
_cell_angle_gamma 90.00
_symmetry_space_group_name_H-M 'P 4/m b m'
_symmetry_Int_Tables_number 127
_symmetry_space_group_name_Hall '-P 4 2ab'
loop_
_atom_site_label
_atom_site_type_symbol
_atom_site_fract_x
_atom_site_fract_y
_atom_site_fract_z
Sc1 Sc 0.148 0.352 0.000
Al1 Al 0.000 0.000 0.500
Sb1 Sb 0.154 0.654 0.500



No. 7
# Zr3Si (PBE, optimized geometry)
# Formation energy from raw total energies ... -163 meV per atom
# ρ ... 6.3 g/cm³
# Size of the total moment ... 0.155 μB per atom
data_Zr3Si
_chemical_formula_sum 'Zr12 Si4'
_cell_length_a 6.836
_cell_length_b 6.836
_cell_length_c 6.836
_cell_angle_alpha 90.00
_cell_angle_beta 90.00
_cell_angle_gamma 90.00
_symmetry_space_group_name_H-M 'F m -3 m'
_symmetry_Int_Tables_number 225
_symmetry_space_group_name_Hall '-F 4 2 3'
loop_
_atom_site_label
_atom_site_type_symbol
_atom_site_fract_x
_atom_site_fract_y
_atom_site_fract_z
Zr1 Zr 0.000 0.000 0.000
Zr2 Zr 0.250 0.250 0.250
Si1 Si 0.000 0.000 0.500



No. 8
# PmScGa4 (PBE, optimized geometry)
# ρ ... 6.7 g/cm³
# Size of the total moment ... 0.000 μB per atom
# Energy relative to the lowest polymorph listed for this composition ... 32.0 kJ/mol of formula units
# Energy of formation from the pure elements ... -0.5149 eV/atom
data_PmScGa4
_chemical_formula_sum 'Pm4 Sc4 Ga16'
_cell_length_a 7.742
_cell_length_b 7.742
_cell_length_c 7.742
_cell_angle_alpha 90.00
_cell_angle_beta 90.00
_cell_angle_gamma 90.00
_symmetry_space_group_name_H-M 'F -4 3 m'
_symmetry_Int_Tables_number 216
_symmetry_space_group_name_Hall 'F -4 2 3'
loop_
_atom_site_label
_atom_site_type_symbol
_atom_site_fract_x
_atom_site_fract_y
_atom_site_fract_z
Pm1 Pm 0.000 0.000 0.000
Sc1 Sc 0.250 0.250 0.250
Ga1 Ga 0.125 0.125 0.625



No. 9
# Cu2PCl (PBE, optimized geometry)
# Formation energy from raw total energies ... 374 meV per atom
# ρ ... 5.4 g/cm³
# Size of the total moment ... 0.000 μB per atom
# Energy relative to the lowest polymorph listed for this composition ... 181.4 kJ/mol of formula units
data_Cu2PCl
_chemical_formula_sum 'Cu4 P2 Cl2'
_cell_length_a 6.493
_cell_length_b 6.509
_cell_length_c 2.825
_cell_angle_alpha 90.00
_cell_angle_beta 90.00
_cell_angle_gamma 90.00
_symmetry_space_group_name_H-M 'C m m m'
_symmetry_Int_Tables_number 65
_symmetry_space_group_name_Hall '-C 2 2'
loop_
_atom_site_label
_atom_site_type_symbol
_atom_site_fract_x
_atom_site_fract_y
_atom_site_fract_z
Cu1 Cu 0.250 0.250 0.000
P1 P 0.000 0.000 0.500
Cl1 Cl 0.000 0.500 0.500



No. 10
# Nd14SmHg (PBE, optimized geometry)
# ρ ... 7.3 g/cm³
# Size of the total moment ... 0.000 μB per atom
# Energy of formation from the pure elements ... -0.0274 eV/atom
data_Nd14SmHg
_chemical_formula_sum 'Nd28 Sm2 Hg2'
_cell_length_a 10.353
_cell_length_b 10.225
_cell_length_c 10.240
_cell_angle_alpha 90.00
_cell_angle_beta 90.00
_cell_angle_gamma 90.00
_symmetry_space_group_name_H-M 'A m m 2'
_symmetry_Int_Tables_number 38
_symmetry_space_group_name_Hall 'A 2 -2'
loop_
_atom_site_label
_atom_site_type_symbol
_atom_site_fract_x
_atom_site_fract_y
_atom_site_fract_z
Nd1 Nd 0.000 0.000 0.000
Nd2 Nd 0.000 0.000 0.492
Nd3 Nd 0.000 0.241 0.245
Nd4 Nd 0.238 0.000 0.745
Nd5 Nd 0.256 0.248 0.494
Nd6 Nd 0.271 0.000 0.249
Nd7 Nd 0.500 0.228 0.735
Sm1 Sm 0.500 0.000 0.993
Hg1 Hg 0.500 0.000 0.492



No. 11
# LiOs4Br (PBE, optimized geometry)
# Formation energy from raw total energies ... 1206 meV per atom
# ρ ... 13.8 g/cm³
# Size of the total moment ... 0.227 μB per atom
data_LiOs4Br
_chemical_formula_sum 'Li4 Os16 Br4'
_cell_length_a 7.412
_cell_length_b 7.412
_cell_length_c 7.412
_cell_angle_alpha 90.00
_cell_angle_beta 90.00
_cell_angle_gamma 90.00
_symmetry_space_group_name_H-M 'F -4 3 m'
_symmetry_Int_Tables_number 216
_symmetry_space_group_name_Hall 'F -4 2 3'
loop_
_atom_site_label
_atom_site_type_symbol
_atom_site_fract_x
_atom_site_fract_y
_atom_site_fract_z
Li1 Li 0.000 0.000 0.000
Os1 Os 0.125 0.125 0.625
Br1 Br 0.250 0.250 0.250



No. 12
# CsHfS3 (PBE, optimized geometry)
# Formation energy from raw total energies ... -798 meV per atom
# ρ ... 4.9 g/cm³
# Size of the total moment ... 0.000 μB per atom
# Energy relative to the lowest polymorph listed for this composition ... 288.9 kJ/mol of formula units
data_CsHfS3
_chemical_formula_sum 'Cs1 Hf1 S3'
_cell_length_a 3.945
_cell_length_b 3.945
_cell_length_c 8.881
_cell_angle_alpha 90.00
_cell_angle_beta 90.00
_cell_angle_gamma 90.00
_symmetry_space_group_name_H-M 'P 4 m m'
_symmetry_Int_Tables_number 99
_symmetry_space_group_name_Hall 'P 4 -2'
loop_
_atom_site_label
_atom_site_type_symbol
_atom_site_fract_x
_atom_site_fract_y
_atom_site_fract_z
Cs1 Cs 0.000 0.000 0.000
Hf1 Hf 0.500 0.500 0.487
S1 S 0.000 0.000 0.624
S2 S 0.000 0.500 0.310



No. 13
# ScGaCuCl (PBE, optimized geometry)
# Formation energy from raw total energies ... -577 meV per atom
# ρ ... 3.9 g/cm³
# Size of the total moment ... 0.000 μB per atom
# Energy relative to the lowest polymorph listed for this composition ... 30.4 kJ/mol of formula units
data_ScGaCuCl
_chemical_formula_sum 'Sc1 Ga1 Cu1 Cl1'
_cell_length_a 4.330
_cell_length_b 3.195
_cell_length_c 6.609
_cell_angle_alpha 90.00
_cell_angle_beta 90.38
_cell_angle_gamma 90.00
_symmetry_space_group_name_H-M 'P 1 m 1'
_symmetry_Int_Tables_number 6
_symmetry_space_group_name_Hall 'P -2y'
loop_
_atom_site_label
_atom_site_type_symbol
_atom_site_fract_x
_atom_site_fract_y
_atom_site_fract_z
Sc1 Sc 0.000 0.000 0.000
Ga1 Ga 0.499 0.500 0.839
Cu1 Cu 0.996 0.500 0.658
Cl1 Cl 0.006 0.500 0.301



No. 14
# RbAl2Pb2 (PBE, optimized geometry)
# ρ ... 6.0 g/cm³
# Size of the total moment ... 0.000 μB per atom
# Energy relative to the lowest polymorph listed for this composition ... 21.3 kJ/mol of formula units
# Energy of formation from the pure elements ... 0.0226 eV/atom
data_RbAl2Pb2
_chemical_formula_sum 'Rb2 Al4 Pb4'
_cell_length_a 5.122
_cell_length_b 5.122
_cell_length_c 11.617
_cell_angle_alpha 90.00
_cell_angle_beta 90.00
_cell_angle_gamma 90.00
_symmetry_space_group_name_H-M 'I 4/m m m'
_symmetry_Int_Tables_number 139
_symmetry_space_group_name_Hall '-I 4 2'
loop_
_atom_site_label
_atom_site_type_symbol
_atom_site_fract_x
_atom_site_fract_y
_atom_site_fract_z
Rb1 Rb 0.000 0.000 0.000
Al1 Al 0.000 0.000 0.385
Pb1 Pb 0.000 0.500 0.250



No. 15
# KSnC2 (PBE, optimized geometry)
# ρ ... 3.5 g/cm³
# Size of the total moment ... 0.000 μB per atom
# Energy of formation from the pure elements ... 1.7049 eV/atom
data_KSnC2
_chemical_formula_sum 'K4 Sn4 C8'
_cell_length_a 5.169
_cell_length_b 5.169
_cell_length_c 12.914
_cell_angle_alpha 90.00
_cell_angle_beta 90.00
_cell_angle_gamma 90.00
_symmetry_space_group_name_H-M 'I -4 2 d'
_symmetry_Int_Tables_number 122
_symmetry_space_group_name_Hall 'I -4 2bw'
loop_
_atom_site_label
_atom_site_type_symbol
_atom_site_fract_x
_atom_site_fract_y
_atom_site_fract_z
K1 K 0.000 0.000 0.000
Sn1 Sn 0.000 0.000 0.500
C1 C 0.112 0.250 0.625



No. 16
# AlInNi (PBE, optimized geometry)
# ρ ... 6.2 g/cm³
# Size of the total moment ... 0.000 μB per atom
# Energy of formation from the pure elements ... -0.2439 eV/atom
data_AlInNi
_chemical_formula_sum 'Al6 In6 Ni6'
_cell_length_a 4.1699
_cell_length_b 4.1699
_cell_length_c 21.2613
_cell_angle_alpha 90.00
_cell_angle_beta 90.00
_cell_angle_gamma 120.00
_symmetry_space_group_name_H-M 'R -3 m'
_symmetry_Int_Tables_number 166
_symmetry_space_group_name_Hall '-R 3 2"'
loop_
_atom_site_label
_atom_site_type_symbol
_atom_site_fract_x
_atom_site_fract_y
_atom_site_fract_z
Al1 Al 0.0000 0.0000 0.1295
In1 In 0.0000 0.0000 0.3768
Ni1 Ni 0.0000 0.0000 0.2422



No. 17
# Y2Pt9Rh (PBE, optimized geometry)
# ρ ... 16.7 g/cm³
# Size of the total moment ... 0.118 μB per atom
# Energy of formation from the pure elements ... -0.6289 eV/atom
data_Y2Pt9Rh
_chemical_formula_sum 'Y2 Pt9 Rh1'
_cell_length_a 4.058
_cell_length_b 4.058
_cell_length_c 12.289
_cell_angle_alpha 90.00
_cell_angle_beta 90.00
_cell_angle_gamma 90.00
_symmetry_space_group_name_H-M 'P 4/m m m'
_symmetry_Int_Tables_number 123
_symmetry_space_group_name_Hall '-P 4 2'
loop_
_atom_site_label
_atom_site_type_symbol
_atom_site_fract_x
_atom_site_fract_y
_atom_site_fract_z
Y1 Y 0.000 0.000 0.170
Pt1 Pt 0.000 0.500 0.000
Pt2 Pt 0.000 0.500 0.343
Pt3 Pt 0.500 0.500 0.171
Pt4 Pt 0.500 0.500 0.500
Rh1 Rh 0.000 0.000 0.500



No. 18
# Tl2HgI2 (PBE, optimized geometry)
# Formation energy from raw total energies ... -415 meV per atom
# ρ ... 5.2 g/cm³
# Size of the total moment ... 0.000 μB per atom
# Energy relative to the lowest polymorph listed for this composition ... 35.5 kJ/mol of formula units
data_Tl2HgI2
_chemical_formula_sum 'Tl4 Hg2 I4'
_cell_length_a 6.377
_cell_length_b 6.377
_cell_length_c 13.581
_cell_angle_alpha 90.00
_cell_angle_beta 90.00
_cell_angle_gamma 90.00
_symmetry_space_group_name_H-M 'I 4/m m m'
_symmetry_Int_Tables_number 139
_symmetry_space_group_name_Hall '-I 4 2'
loop_
_atom_site_label
_atom_site_type_symbol
_atom_site_fract_x
_atom_site_fract_y
_atom_site_fract_z
Tl1 Tl 0.000 0.500 0.250
Hg1 Hg 0.000 0.000 0.000
I1 I 0.000 0.000 0.341



No. 19
# LaSmHgGe (PBE, optimized geometry)
# ρ ... 8.7 g/cm³
# Size of the total moment ... 0.000 μB per atom
# Energy of formation from the pure elements ... -0.5844 eV/atom
data_LaSmHgGe
_chemical_formula_sum 'La4 Sm4 Hg4 Ge4'
_cell_length_a 7.549
_cell_length_b 7.549
_cell_length_c 7.549
_cell_angle_alpha 90.00
_cell_angle_beta 90.00
_cell_angle_gamma 90.00
_symmetry_space_group_name_H-M 'F -4 3 m'
_symmetry_Int_Tables_number 216
_symmetry_space_group_name_Hall 'F -4 2 3'
loop_
_atom_site_label
_atom_site_type_symbol
_atom_site_fract_x
_atom_site_fract_y
_atom_site_fract_z
La1 La 0.000 0.000 0.000
Sm1 Sm 0.000 0.000 0.500
Hg1 Hg 0.250 0.250 0.250
Ge1 Ge 0.250 0.250 0.750



No. 20
# La4Pr5Nd (PBE, optimized geometry)
# ρ ... 6.5 g/cm³
# Size of the total moment ... 0.000 μB per atom
# Energy relative to the lowest polymorph listed for this composition ... 0.0 kJ/mol of formula units
# Energy of formation from the pure elements ... 0.1328 eV/atom
data_La4Pr5Nd
_chemical_formula_sum 'La8 Pr10 Nd2'
_cell_length_a 10.777
_cell_length_b 10.777
_cell_length_c 6.175
_cell_angle_alpha 90.00
_cell_angle_beta 90.00
_cell_angle_gamma 90.00
_symmetry_space_group_name_H-M 'P 4/n m m'
_symmetry_Int_Tables_number 129
loop_
_symmetry_equiv_pos_as_xyz
'x,y,z'
'-x,-y,-z'
'-y+1/2,x,z'
'y+1/2,-x,-z'
'-x+1/2,-y+1/2,z'
'x+1/2,y+1/2,-z'
'y,-x+1/2,z'
'-y,x+1/2,-z'
'x+1/2,-y,-z'
'-x+1/2,y,z'
'-y,-x,-z'
'y,x,z'
'-x,y+1/2,-z'
'x,-y+1/2,z'
'y+1/2,x+1/2,-z'
'-y+1/2,-x+1/2,z'
loop_
_atom_site_label
_atom_site_type_symbol
_atom_site_fract_x
_atom_site_fract_y
_atom_site_fract_z
La1 La 0.049 0.750 0.131
Pr1 Pr 0.090 0.090 0.344
Pr2 Pr 0.250 0.750 0.500
Nd1 Nd 0.250 0.250 0.828